19
Lattice="-1.364 -7.114 0.623 6.903 -1.596 -1.631 1.828 0.136 7.035" Properties=species:S:1:pos:R:3 comment="ZnCd12Ag6, relaxed, DFT PBE-GGA" crystal_system=trigonal dft_energy_ev_per_atom=-1.58 formation_enthalpy_0k_ev_per_atom=-0.039 n_ef_per_ev_atom=0.169 pbc="T T T"
Zn 0.000 0.000 0.000
Cd 5.692 -8.083 3.614
Cd 4.067 -2.074 3.355
Cd 3.642 -4.275 0.742
Cd 5.924 -4.272 2.636
Ag 1.023 -5.640 0.818
Cd 4.911 -6.903 6.247
Ag 1.761 -1.957 5.158
Ag 1.959 -6.636 5.301
Cd 1.675 -0.491 2.414
Ag 5.408 -1.938 0.726
Cd 0.057 -2.711 1.233
Ag 5.606 -6.618 0.869
Ag 6.343 -2.934 5.209
Cd 3.725 -4.299 5.285
Cd 7.309 -5.864 4.795
Cd 2.455 -1.672 -0.220
Cd 3.300 -6.501 2.672
Cd 1.443 -4.303 3.391